The following is a PBEsol calculation of a geometry-optimized K5Be structure, from the Alexandria database.

The calculation puts the formation energy at 4.042 eV per formula unit. Its spin magnetization is 0.000 μB/atom.

The space group is P6/mmm (No. 191) and the conventional cell measures 7.8114, 7.8114 and 7.6451 Å, with angles of 90.00, 90.00 and 120.00 degrees. The distinct sites, in fractional coordinates, are K at (0.0000, 0.5000, 0.0000), K at (0.3333, 0.6667, 0.5000) and Be at (0.0000, 0.0000, 0.5000).